No. 1
First-principles (PBE-GGA) data for YNi5Ge3 after structural relaxation, as listed in the Open Quantum Materials Database.

Cell and atoms, written as POSCAR:
```
YNi5Ge3
1.0
19.154 0.000 0.000
0.000 3.876 0.000
0.000 0.000 6.828
Ni Ge Y
20 12 4
direct
0.613 0.750 0.641
0.292 0.750 0.574
0.200 0.250 0.690
0.504 0.250 0.134
0.496 0.750 0.866
0.014 0.750 0.117
0.514 0.750 0.383
0.887 0.250 0.141
0.113 0.750 0.859
0.792 0.750 0.926
0.996 0.750 0.634
0.986 0.250 0.883
0.208 0.250 0.074
0.004 0.250 0.366
0.486 0.250 0.617
0.800 0.750 0.310
0.700 0.250 0.810
0.300 0.750 0.190
0.387 0.250 0.359
0.708 0.250 0.426
0.076 0.250 0.649
0.737 0.750 0.617
0.237 0.750 0.883
0.263 0.250 0.383
0.086 0.250 0.091
0.576 0.250 0.851
0.914 0.750 0.909
0.414 0.750 0.591
0.586 0.250 0.409
0.924 0.750 0.351
0.763 0.250 0.117
0.424 0.750 0.149
0.645 0.750 0.122
0.145 0.750 0.378
0.355 0.250 0.878
0.855 0.250 0.622
```

Its space group is Pnma, No. 62. The calculation puts the energy at -5.90 eV/atom.

=====

No. 2
First-principles (PBE-GGA) data for Y6Ni2Ge after structural relaxation, as listed in the Open Quantum Materials Database.

Cell and atoms, written as POSCAR:
```
Y6Ni2Ge
1.0
7.527 0.000 0.000
-3.764 6.519 0.000
0.000 0.000 4.511
Ni Y Ge
2 6 1
direct
0.667 0.333 0.000
0.333 0.667 0.000
0.401 0.401 0.500
0.000 0.599 0.500
0.725 0.725 0.000
0.275 0.000 0.000
0.599 0.000 0.500
0.000 0.275 0.000
0.000 0.000 0.500
```

Its space group is P-62m, No. 189. The calculation puts the energy at -6.38 eV/atom.

=====

No. 3
First-principles (PBE-GGA) data for Y2NiGe6 after structural relaxation, as listed in the Open Quantum Materials Database.

Cell and atoms, written as POSCAR:
```
Y2NiGe6
1.0
-7.517 2.681 7.615
4.205 -3.027 -9.739
-0.292 -3.930 1.095
Ge Y Ni
6 2 1
direct
0.935 0.065 0.500
0.433 0.567 0.000
0.567 0.433 0.000
0.211 0.789 0.000
0.065 0.935 0.500
0.789 0.211 0.000
0.674 0.326 0.500
0.326 0.674 0.500
0.000 0.000 0.000
```

Its space group is Cmmm, No. 65. The calculation puts the energy at -5.64 eV/atom. For the distance to the lowest polymorph of the same formula, the calculation gives 24 meV per atom.

=====

No. 4
First-principles (PBE-GGA) data for Y2Ni3Ge5 after structural relaxation, as listed in the Open Quantum Materials Database.

Cell and atoms, written as POSCAR:
```
Y2Ni3Ge5
1.0
4.089 -2.791 -6.440
-0.379 -1.529 7.968
-6.847 -2.986 -3.192
Ni Ge Y
6 10 4
direct
0.750 0.250 0.500
0.636 0.389 0.025
0.364 0.611 0.975
0.136 0.111 0.247
0.864 0.889 0.753
0.250 0.750 0.500
0.400 0.842 0.243
0.750 0.750 0.000
0.600 0.158 0.757
0.250 0.250 0.000
0.517 0.250 0.267
0.983 0.250 0.733
0.100 0.342 0.442
0.483 0.750 0.733
0.017 0.750 0.267
0.900 0.658 0.558
0.866 0.236 0.102
0.366 0.264 0.630
0.134 0.764 0.898
0.634 0.736 0.370
```

Its space group is Ibam, No. 72. The calculation puts the energy at -5.91 eV/atom.

=====

No. 5
First-principles (PBE-GGA) data for Y2NiGe6 after structural relaxation, as listed in the Open Quantum Materials Database.

Cell and atoms, written as POSCAR:
```
Y2NiGe6
1.0
-2.235 3.138 1.334
8.953 4.554 4.291
9.005 6.151 0.620
Y Ge Ni
2 6 1
direct
0.500 0.997 0.997
0.500 0.661 0.661
0.000 0.777 0.777
0.500 0.275 0.275
0.500 0.392 0.392
0.000 0.111 0.111
0.000 0.894 0.894
0.000 0.536 0.536
0.000 0.219 0.219
```

Its space group is Amm2, No. 38. The calculation puts the energy at -5.66 eV/atom. For the distance to the lowest polymorph of the same formula, the calculation gives 0 meV per atom.

=====

No. 6
First-principles (PBE-GGA) data for Y2Ni2Ge after structural relaxation, as listed in the Open Quantum Materials Database.

Cell and atoms, written as POSCAR:
```
Y2Ni2Ge
1.0
0.942 -3.782 -3.397
3.200 -2.008 3.530
-4.904 0.902 1.368
Y Ge Ni
2 1 2
direct
0.250 0.750 0.500
0.750 0.250 0.500
0.000 0.000 0.000
0.658 0.658 0.000
0.342 0.342 0.000
```

Its space group is I4/mmm, No. 139. The calculation puts the energy at -6.12 eV/atom.

=====

No. 7
First-principles (PBE-GGA) data for Y3NiGe3 after structural relaxation, as listed in the Open Quantum Materials Database.

Cell and atoms, written as POSCAR:
```
Y3NiGe3
1.0
5.291 -2.126 0.000
5.291 2.126 0.000
-4.812 0.000 13.015
Ni Y Ge
2 6 6
direct
0.755 0.755 0.099
0.245 0.245 0.901
0.471 0.471 0.118
0.256 0.256 0.271
0.401 0.401 0.579
0.529 0.529 0.882
0.599 0.599 0.421
0.744 0.744 0.729
0.859 0.859 0.955
0.961 0.961 0.262
0.039 0.039 0.738
0.877 0.877 0.424
0.141 0.141 0.045
0.123 0.123 0.576
```

Its space group is C2/m, No. 12. The calculation puts the energy at -6.40 eV/atom.

=====

No. 8
First-principles (PBE-GGA) data for YNiGe2 after structural relaxation, as listed in the Open Quantum Materials Database.

Cell and atoms, written as POSCAR:
```
YNiGe2
1.0
4.188 0.000 0.000
0.000 2.051 8.344
0.000 -2.051 8.344
Y Ge Ni
2 4 2
direct
0.000 0.892 0.892
0.500 0.108 0.108
0.000 0.251 0.251
0.500 0.748 0.748
0.500 0.459 0.459
0.000 0.541 0.541
0.500 0.321 0.321
0.000 0.679 0.679
```

Its space group is Cmcm, No. 63. The calculation puts the energy at -6.03 eV/atom.

=====

Number 1: M_tot 0.0 Bohr magnetons per cell. Number 2: M_tot 0.0 Bohr magnetons per cell. Number 3: M_tot 0.0 Bohr magnetons per cell. Number 4: M_tot 0.0 Bohr magnetons per cell. Number 5: M_tot 0.0 Bohr magnetons per cell. Number 6: M_tot 0.0 Bohr magnetons per cell. Number 7: M_tot 0.0 Bohr magnetons per cell. Number 8: M_tot 0.0 Bohr magnetons per cell.